# Fe2RuPb | the Alexandria database | PBE | optimized geometry
data_Fe2RuPb
_chemical_formula_sum 'Fe2 Ru1 Pb1'
_cell_length_a 3.173
_cell_length_b 3.181
_cell_length_c 6.237
_cell_angle_alpha 90.00
_cell_angle_beta 90.11
_cell_angle_gamma 90.00
_space_group_name_H-M_alt 'P 1'
_space_group_IT_number 1
loop_
_space_group_symop_operation_xyz
'x,y,z'
loop_
_atom_site_label
_atom_site_fract_x
_atom_site_fract_y
_atom_site_fract_z
Fe1 0.000 0.000 0.000
Fe2 0.499 0.500 0.806
Ru1 0.999 0.000 0.584
Pb1 0.499 0.500 0.290
# magnetic moment = 6.2 Bohr magnetons per cell
# uncorrected energy = -28.21 eV per cell
# volume = 63 Å³/cell